# 1
DFT (PBE) results for NbHgOs3 after structural relaxation.

Lattice parameters (Å, degrees): 4.7874 4.7874 4.7874 90.00 90.00 90.00
Closest atoms and distances in Å follow each position.
Atoms (fractional coordinates):
Nb 0.5000 0.5000 0.5000  12 Os 3.39
Os 0.0000 0.5000 0.0000  2 Hg 2.39
Os 0.0000 0.0000 0.5000  2 Hg 2.39
Os 0.5000 0.0000 0.0000  2 Hg 2.39
Hg 0.0000 0.0000 0.0000  6 Os 2.39

Results
Crystal system   cubic
Calculated volume   109.7 Å³ per cell
ΔE_f   3.04 eV/atom
Offset from the most stable computed form   792 meV/atom
Total magnetization   0.00 μB per cell
E   -5.77 eV/atom

# 2
DFT (PBE) results for NbHg2Os after structural relaxation.

Lattice parameters (Å, degrees): 7.6983 7.6983 6.0913 50.81 50.81 90.00
Closest atoms and distances in Å follow each position.
Atoms (fractional coordinates):
Nb 0.5000 0.5000 0.0000  2 Os 2.73, 4 Hg 2.88
Nb 0.2500 0.7500 0.5000  2 Os 2.73, 4 Hg 2.88
Os 0.0000 0.0000 0.0000  2 Nb 2.73, 4 Hg 2.74
Os 0.7500 0.2500 0.5000  2 Nb 2.73, 4 Hg 2.74
Hg 0.6382 0.1250 0.2500  2 Os 2.74, 2 Hg 2.74, 2 Nb 2.88
Hg 0.1118 0.6250 0.2500  2 Os 2.74, 2 Hg 2.74, 2 Nb 2.88
Hg 0.3750 0.3618 0.7500  2 Os 2.74, 2 Hg 2.74, 2 Nb 2.88
Hg 0.8750 0.8882 0.7500  2 Os 2.74, 2 Hg 2.74, 2 Nb 2.88

Results
Crystal system   tetragonal
Calculated volume   162.0 Å³ per cell
ΔE_f   1.06 eV/atom
Offset from the most stable computed form   373 meV/atom
Total magnetization   1.33 μB per cell
E   -4.42 eV/atom

# 3
DFT (PBE) results for NbHg2Os after structural relaxation.

Lattice parameters (Å, degrees): 4.6688 4.6688 4.6688 60.00 60.00 60.00
Closest atoms and distances in Å follow each position.
Atoms (fractional coordinates):
Nb 0.0000 0.0000 0.0000  8 Hg 2.86
Os 0.5000 0.5000 0.5000  8 Hg 2.86
Hg 0.2500 0.2500 0.2500  4 Nb 2.86, 4 Os 2.86
Hg 0.7500 0.7500 0.7500  4 Nb 2.86, 4 Os 2.86

Results
Crystal system   cubic
Calculated volume   72.0 Å³ per cell
ΔE_f   0.68 eV/atom
Offset from the most stable computed form   0 meV/atom
Total magnetization   0.00 μB per cell
E   -4.79 eV/atom

# 4
DFT (PBE) results for NbHgOs2 after structural relaxation.

Lattice parameters (Å, degrees): 7.4092 7.4092 5.9159 51.23 51.23 90.00
Closest atoms and distances in Å follow each position.
Atoms (fractional coordinates):
Nb 0.5000 0.5000 0.0000  4 Os 2.52, 2 Hg 2.75
Nb 0.2500 0.7500 0.5000  4 Os 2.52, 2 Hg 2.75
Os 0.5857 0.1250 0.2500  2 Nb 2.52, 2 Os 2.81
Os 0.1643 0.6250 0.2500  2 Nb 2.52, 2 Os 2.81
Os 0.3750 0.4143 0.7500  2 Nb 2.52, 2 Os 2.81
Os 0.8750 0.8357 0.7500  2 Nb 2.52, 2 Os 2.81
Hg 0.0000 0.0000 0.0000  2 Nb 2.75, 4 Os 2.91
Hg 0.7500 0.2500 0.5000  2 Nb 2.75, 4 Os 2.91

Results
Crystal system   tetragonal
Calculated volume   150.8 Å³ per cell
ΔE_f   0.95 eV/atom
Total magnetization   0.00 μB per cell
E   -7.26 eV/atom

# 5
DFT (PBE) results for NbReHg2Os after structural relaxation.

Lattice parameters (Å, degrees): 5.2623 4.7103 5.2623 90.00 90.00 90.00
Closest atoms and distances in Å follow each position.
Atoms (fractional coordinates):
Re 0.5000 0.5000 0.5000  8 Hg 3.53, 4 Os 3.72
Nb 0.0000 0.0000 0.0000  2 Os 2.36, 4 Hg 2.63
Os 0.0000 0.5000 0.0000  2 Nb 2.36
Hg 0.0000 0.0000 0.5000  2 Nb 2.63
Hg 0.5000 0.0000 0.0000  2 Nb 2.63

Results
Crystal system   tetragonal
Calculated volume   130.4 Å³ per cell
ΔE_f   2.31 eV/atom
Total magnetization   3.76 μB per cell
E   -4.56 eV/atom

# 6
DFT (PBE) results for NbHg2OsRh after structural relaxation.

Lattice parameters (Å, degrees): 5.1433 5.1433 4.6380 90.00 90.00 90.00
Closest atoms and distances in Å follow each position.
Atoms (fractional coordinates):
Rh 0.0000 0.0000 0.5000  2 Os 2.32
Nb 0.5000 0.5000 0.5000  8 Hg 3.46, 4 Rh 3.64
Os 0.0000 0.0000 0.0000  2 Rh 2.32, 4 Hg 2.57
Hg 0.0000 0.5000 0.0000  2 Os 2.57
Hg 0.5000 0.0000 0.0000  2 Os 2.57

Results
Crystal system   tetragonal
Calculated volume   122.7 Å³ per cell
ΔE_f   1.51 eV/atom
Total magnetization   3.07 μB per cell
E   -4.34 eV/atom